Record 1
This record from Alexandria describes a relaxed structure of Ba3SnRu. The functional is PBE-GGA.

Unit cell a=5.7966 b=5.7966 c=5.7966 alpha=90.00 beta=90.00 gamma=90.00
Fractional coordinates of all 5 atoms:
Ba: 0.0000 0.0000 0.5000
Ba: 0.0000 0.5000 0.0000
Ba: 0.5000 0.0000 0.0000
Sn: 0.5000 0.5000 0.5000
Ru: 0.0000 0.0000 0.0000

## Properties
DFT formation energy ... 47 meV per atom
D(E_F) ... 6.6 states/eV/f.u.
Energy above the lowest structure with this stoichiometry ... 0.0 meV per atom
Crystal system ... cubic
Space group ... No. 221


Record 2
This record from Alexandria describes a relaxed structure of Sr2CaIn2Pd5. The functional is PBE-GGA.

Unit cell a=10.7806 b=10.7806 c=3.9512 alpha=90.00 beta=90.00 gamma=90.00
Fractional coordinates of all 20 atoms:
Sr: 0.1763 0.3237 0.0000
Sr: 0.3237 0.8237 0.0000
Sr: 0.6763 0.1763 0.0000
Sr: 0.8237 0.6763 0.0000
Ca: 0.0000 0.0000 0.0000
Ca: 0.5000 0.5000 0.0000
In: 0.1207 0.6207 0.0000
In: 0.3793 0.1207 0.0000
In: 0.6207 0.8793 0.0000
In: 0.8793 0.3793 0.0000
Pd: 0.0000 0.5000 0.5000
Pd: 0.0632 0.7888 0.5000
Pd: 0.2112 0.0632 0.5000
Pd: 0.2888 0.5632 0.5000
Pd: 0.4368 0.2888 0.5000
Pd: 0.5000 0.0000 0.5000
Pd: 0.5632 0.7112 0.5000
Pd: 0.7112 0.4368 0.5000
Pd: 0.7888 0.9368 0.5000
Pd: 0.9368 0.2112 0.5000

## Properties
DFT formation energy ... -535 meV per atom
D(E_F) ... 3.3 states/eV/f.u.
Crystal system ... tetragonal
Space group ... No. 127